1.
{
  "formula": "CeTc3P3",
  "functional": "PBE",
  "state": "optimized geometry",
  "cell": [[-4.169, -4.346, -2.354], [3.399, -4.757, 2.762], [-3.588, 0.544, 5.351]],
  "species": ["Tc", "Tc", "Tc", "Tc", "Tc", "Tc", "Ce", "Ce", "P", "P", "P", "P", "P", "P"],
  "frac_coords": [[0.500, 0.000, 0.750], [0.000, 0.750, 0.500], [0.750, 0.500, 0.000], [0.250, 0.500, 0.000], [0.000, 0.250, 0.500], [0.500, 0.000, 0.250], [0.500, 0.500, 0.500], [0.000, 0.000, 0.000], [0.000, 0.500, 0.750], [0.250, 0.000, 0.500], [0.500, 0.750, 0.000], [0.000, 0.500, 0.250], [0.750, 0.000, 0.500], [0.500, 0.250, 0.000]],
  "volume_a3_per_atom": 19.31,
  "dos_at_fermi_per_ev_cell": 17.90,
  "space_group": "No. 223",
  "magnetic_moment_mub_per_cell": 2.25,
  "e_above_lowest_polymorph_kj_per_mol_atoms": 33.52,
  "e_form_ev_per_fu": -2.21
}

---

2.
{
  "formula": "CeTc4P4",
  "functional": "PBE",
  "state": "optimized geometry",
  "cell": [[5.972, 0.000, 0.000], [0.000, 5.972, 0.000], [0.000, 0.000, 7.877]],
  "species": ["P", "P", "P", "P", "P", "P", "P", "P", "Tc", "Tc", "Tc", "Tc", "Tc", "Tc", "Tc", "Tc", "Ce", "Ce"],
  "frac_coords": [[0.199, 0.500, 0.171], [0.301, 0.000, 0.329], [0.801, 0.500, 0.171], [0.000, 0.301, 0.671], [0.500, 0.199, 0.829], [0.500, 0.801, 0.829], [0.000, 0.699, 0.671], [0.699, 0.000, 0.329], [0.756, 0.500, 0.873], [0.500, 0.756, 0.127], [0.744, 0.000, 0.627], [0.244, 0.500, 0.873], [0.000, 0.744, 0.373], [0.000, 0.256, 0.373], [0.256, 0.000, 0.627], [0.500, 0.244, 0.127], [0.500, 0.500, 0.500], [0.000, 0.000, 0.000]],
  "volume_a3_per_atom": 15.61,
  "dos_at_fermi_per_ev_cell": 22.94,
  "space_group": "No. 137",
  "magnetic_moment_mub_per_cell": 1.44,
  "e_form_ev_per_fu": -5.35
}

---

3.
{
  "formula": "Ce6Te3P",
  "functional": "PBE",
  "state": "optimized geometry",
  "cell": [[7.136, 0.000, 0.036], [0.000, 8.333, 0.000], [0.150, 0.000, 10.310]],
  "species": ["Ce", "Ce", "Ce", "Ce", "Ce", "Ce", "Ce", "Ce", "Ce", "Ce", "Ce", "Ce", "Te", "Te", "Te", "Te", "Te", "Te", "P", "P"],
  "frac_coords": [[0.873, 0.690, 0.941], [0.183, 0.049, 0.763], [0.127, 0.310, 0.059], [0.683, 0.451, 0.263], [0.817, 0.951, 0.237], [0.657, 0.160, 0.944], [0.373, 0.810, 0.441], [0.157, 0.340, 0.444], [0.343, 0.840, 0.056], [0.317, 0.549, 0.737], [0.627, 0.190, 0.559], [0.843, 0.660, 0.556], [0.570, 0.868, 0.748], [0.000, 0.000, 0.500], [0.500, 0.500, 0.000], [0.070, 0.632, 0.248], [0.430, 0.132, 0.252], [0.930, 0.368, 0.752], [0.500, 0.500, 0.500], [0.000, 0.000, 0.000]],
  "volume_a3_per_atom": 30.65,
  "dos_at_fermi_per_ev_cell": 83.53,
  "space_group": "No. 14",
  "magnetic_moment_mub_per_cell": 16.38,
  "raw_formation_energy_ev_per_fu": -9.4
}

---

4.
{
  "formula": "Ce5TeP4",
  "functional": "PBE",
  "state": "optimized geometry",
  "cell": [[-2.573, 1.823, 2.688], [-2.023, -5.318, 1.670], [9.691, 1.262, 5.228]],
  "species": ["Ce", "Ce", "Ce", "Ce", "Ce", "P", "P", "P", "P", "Te"],
  "frac_coords": [[0.612, 0.112, 0.223], [0.199, 0.699, 0.398], [0.801, 0.301, 0.602], [0.000, 0.500, 0.000], [0.388, 0.888, 0.777], [0.600, 0.600, 0.199], [0.796, 0.796, 0.591], [0.400, 0.400, 0.801], [0.204, 0.204, 0.409], [0.000, 0.000, 0.000]],
  "volume_a3_per_atom": 25.74,
  "dos_at_fermi_per_ev_cell": 24.66,
  "space_group": "No. 71",
  "magnetic_moment_mub_per_cell": 3.70,
  "raw_formation_energy_ev_per_fu": -14.5
}

---

5.
{
  "formula": "Ce3Te2P",
  "functional": "PBE",
  "state": "optimized geometry",
  "cell": [[-2.683, 7.002, 0.219], [-2.633, 3.205, -6.246], [-7.486, -0.233, 1.532]],
  "species": ["Te", "Te", "Te", "Te", "P", "P", "Ce", "Ce", "Ce", "Ce", "Ce", "Ce"],
  "frac_coords": [[0.500, 0.000, 0.500], [0.000, 0.000, 0.000], [0.842, 0.316, 0.500], [0.158, 0.684, 0.500], [0.332, 0.336, 0.000], [0.668, 0.664, 0.000], [0.282, 0.000, 0.218], [0.430, 0.646, 0.775], [0.570, 0.354, 0.225], [0.924, 0.646, 0.225], [0.718, 0.000, 0.782], [0.076, 0.354, 0.775]],
  "volume_a3_per_atom": 29.31,
  "dos_at_fermi_per_ev_cell": 40.16,
  "space_group": "No. 12",
  "magnetic_moment_mub_per_cell": 5.97,
  "raw_formation_energy_ev_per_fu": -8.5
}

---

6.
{
  "formula": "CeTeP",
  "functional": "PBE",
  "state": "optimized geometry",
  "cell": [[-3.169, -0.516, 2.304], [2.320, 0.032, 3.198], [-0.153, 5.426, -2.384]],
  "species": ["Te", "Ce", "P"],
  "frac_coords": [[0.027, 0.027, 0.054], [0.698, 0.698, 0.397], [0.275, 0.275, 0.549]],
  "volume_a3_per_atom": 27.22,
  "dos_at_fermi_per_ev_cell": 4.62,
  "space_group": "No. 107",
  "magnetic_moment_mub_per_cell": 0.58,
  "raw_formation_energy_ev_per_fu": -2.8
}